(1)
Crystalline LaGdIrPt at its relaxed geometry. Source: Alexandria, functional PBE.

Properties
For the energy relative to the elements, the calculation gives -890 meV/atom. Its symmetry is F-43m, No. 216. Its crystal system is cubic. For the density of states at the Fermi level, the calculation gives 0.41 states/eV/atom.

Cell lengths 5.0379, 5.0379, 5.0379 Å; angles 60.00, 60.00, 60.00 degrees
Site moments in Bohr magnetons follow the coordinates.
Sites, in units of the cell vectors:
1 Gd 0.0000 0.0000 0.0000  6.97
2 Ir 0.2500 0.2500 0.2500  -0.05
3 Pt 0.7500 0.7500 0.7500  -0.01
4 La 0.5000 0.5000 0.5000  0.01

=====

(2)
Crystalline TbGdCdAu at its relaxed geometry. Source: Alexandria, functional PBE.

Properties
For the energy relative to the elements, the calculation gives -555 meV/atom. Its symmetry is F-43m, No. 216. Its crystal system is cubic. For the density of states at the Fermi level, the calculation gives 0.86 states/eV/atom.

Cell lengths 5.2196, 5.2196, 5.2196 Å; angles 60.00, 60.00, 60.00 degrees
Site moments in Bohr magnetons follow the coordinates.
Sites, in units of the cell vectors:
1 Tb 0.5000 0.5000 0.5000  -0.01
2 Gd 0.0000 0.0000 0.0000  -7.04
3 Au 0.2500 0.2500 0.2500  0.00
4 Cd 0.7500 0.7500 0.7500  0.00

=====

(3)
Crystalline Er6Bi3Os at its relaxed geometry. Source: Alexandria, functional PBE.

Properties
For the energy relative to the elements, the calculation gives -478 meV/atom. Its symmetry is P2_1/c, No. 14. Its crystal system is monoclinic. For the density of states at the Fermi level, the calculation gives 0.64 states/eV/atom.

Cell lengths 6.3435, 8.4602, 11.0123 Å; angles 90.00, 91.47, 90.00 degrees
Sites, in units of the cell vectors:
1 Er 0.6332 0.1545 0.9346
2 Er 0.6135 0.2014 0.5598
3 Er 0.6336 0.4645 0.2725
4 Er 0.3664 0.5355 0.7275
5 Er 0.3865 0.7986 0.4402
6 Er 0.3668 0.8455 0.0654
7 Er 0.1332 0.3455 0.4346
8 Er 0.1135 0.2986 0.0598
9 Er 0.1336 0.0355 0.7725
10 Er 0.8664 0.9645 0.2275
11 Er 0.8865 0.7014 0.9402
12 Er 0.8668 0.6545 0.5654
13 Bi 0.5855 0.8812 0.7371
14 Bi 0.5000 0.5000 0.0000
15 Bi 0.4145 0.1188 0.2629
16 Bi 0.0855 0.6188 0.2371
17 Bi 0.0000 0.0000 0.5000
18 Bi 0.9145 0.3812 0.7629
19 Os 0.5000 0.5000 0.5000
20 Os 0.0000 0.0000 0.0000

=====

(4)
Crystalline HfSnTe2I at its relaxed geometry. Source: Alexandria, functional PBE.

Properties
Its symmetry is P4/mmm, No. 123. Its crystal system is tetragonal. For the density of states at the Fermi level, the calculation gives 0.73 states/eV/atom. Its offset from the most stable computed form is 0 meV per atom.

Cell lengths 5.6069, 5.6069, 5.6048 Å; angles 90.00, 90.00, 90.00 degrees
Site moments in Bohr magnetons follow the coordinates.
Sites, in units of the cell vectors:
1 I 0.0000 0.0000 0.5000  0.00
2 Te 0.0000 0.5000 0.0000  -0.01
3 Te 0.5000 0.0000 0.0000  -0.01
4 Hf 0.0000 0.0000 0.0000  0.04
5 Sn 0.5000 0.5000 0.5000  0.20